Run a
# AgHg2Te

AgHg2Te after structural relaxation (PBE-GGA, the Alexandria database).

Values from the calculation:
Space group: No. 35
Crystal system: orthorhombic
DOS at the Fermi energy (states/eV/cell): 0.3
Calculated volume (Å³ per cell): 103.6

Cell and atoms, written as POSCAR:
```
AgHg2Te
1.0
3.259 0.113 0.000
-0.655 3.195 0.000
0.000 0.000 9.876
Te Hg Ag
1 2 1
Direct
0.000 0.000 0.542
0.000 0.000 0.969
0.500 0.500 0.230
0.500 0.500 0.759
```

=====

Run b
# AgHg2Te

AgHg2Te after structural relaxation (PBE-GGA, the Alexandria database).

Values from the calculation:
Space group: No. 123
Crystal system: tetragonal
DOS at the Fermi energy (states/eV/cell): 2.0
Calculated volume (Å³ per cell): 111.2

Cell and atoms, written as POSCAR:
```
AgHg2Te
1.0
6.612 0.000 0.000
0.000 4.100 0.000
0.000 0.000 4.100
Te Hg Ag
1 2 1
Direct
0.500 0.500 0.000
0.000 0.000 0.000
0.000 0.500 0.500
0.500 0.000 0.500
```

=====

Run c
# AgHg2Te

AgHg2Te after structural relaxation (PBE-GGA, the Alexandria database).

Values from the calculation:
Space group: No. 25
Crystal system: orthorhombic
DOS at the Fermi energy (states/eV/cell): 1.2
Calculated volume (Å³ per cell): 118.3

Cell and atoms, written as POSCAR:
```
AgHg2Te
1.0
3.324 0.000 0.000
0.000 4.780 0.000
0.000 0.000 7.450
Te Hg Ag
1 2 1
Direct
0.000 0.000 0.627
0.000 0.000 0.060
0.500 0.500 0.211
0.500 0.500 0.602
```

=====

Quick look at relative energies in eV/atom: run a 0.029; run b 0.012; run c 0.000.

=====

Run a
# AgHg2Te

AgHg2Te after structural relaxation (PBE-GGA, the Alexandria database).

Values from the calculation:
Space group: No. 8
Crystal system: monoclinic
DOS at the Fermi energy (states/eV/cell): 1.8
Calculated volume (Å³ per cell): 108.8

Cell and atoms, written as POSCAR:
```
AgHg2Te
1.0
4.362 -0.612 0.400
2.608 3.550 0.400
2.077 0.876 6.605
Te Hg Ag
1 2 1
Direct
0.483 0.483 0.545
0.007 0.007 0.981
0.258 0.258 0.244
0.752 0.752 0.730
```

=====

Run b
# AgHg2Te

AgHg2Te after structural relaxation (PBE-GGA, the Alexandria database).

Values from the calculation:
Space group: No. 6
Crystal system: monoclinic
DOS at the Fermi energy (states/eV/cell): 1.2
Calculated volume (Å³ per cell): 111.5

Cell and atoms, written as POSCAR:
```
AgHg2Te
1.0
4.826 0.000 0.000
0.000 4.895 0.015
0.000 1.334 4.722
Te Hg Ag
1 2 1
Direct
0.000 0.550 0.549
0.000 0.980 0.980
0.500 0.240 0.240
0.500 0.730 0.731
```

=====

Quick look at relative energies in eV/atom: run a 0.000; run b 0.032.

=====

Run a
# AgHg2Te

AgHg2Te after structural relaxation (PBE-GGA, the Alexandria database).

Values from the calculation:
Space group: No. 119
Crystal system: tetragonal
DOS at the Fermi energy (states/eV/cell): 1.5
Calculated volume (Å³ per cell): 99.1

Cell and atoms, written as POSCAR:
```
AgHg2Te
1.0
5.414 -0.044 0.000
1.079 5.306 0.000
-3.246 -2.631 3.443
Te Hg Ag
1 2 1
Direct
0.500 0.500 0.000
0.000 0.000 0.000
0.250 0.750 0.500
0.750 0.250 0.500
```

=====

Run b
# AgHg2Te

AgHg2Te after structural relaxation (PBE-GGA, the Alexandria database).

Values from the calculation:
Space group: No. 123
Crystal system: tetragonal
DOS at the Fermi energy (states/eV/cell): 1.2
Calculated volume (Å³ per cell): 100.7

Cell and atoms, written as POSCAR:
```
AgHg2Te
1.0
-1.920 2.616 0.037
-2.515 -1.833 -0.921
-2.125 -1.690 9.167
Te Hg Ag
1 2 1
Direct
0.500 0.500 0.250
0.000 0.000 0.959
0.000 0.000 0.541
0.500 0.500 0.750
```

=====

Quick look at relative energies in eV/atom: run a 0.022; run b 0.000.

=====

Run a
# AgHg2Te

AgHg2Te after structural relaxation (PBE-GGA, the Alexandria database).

Values from the calculation:
Space group: No. 166
Crystal system: trigonal
DOS at the Fermi energy (states/eV/cell): 2.3
Calculated volume (Å³ per cell): 99.8

Cell and atoms, written as POSCAR:
```
AgHg2Te
1.0
10.054 0.060 0.036
9.453 3.427 0.036
9.453 1.690 2.981
Te Hg Ag
1 2 1
Direct
0.750 0.750 0.750
0.991 0.991 0.991
0.509 0.509 0.509
0.250 0.250 0.250
```

=====

Run b
# AgHg2Te

AgHg2Te after structural relaxation (PBE-GGA, the Alexandria database).

Values from the calculation:
Space group: No. 99
Crystal system: tetragonal
DOS at the Fermi energy (states/eV/cell): 0.7
Calculated volume (Å³ per cell): 103.2

Cell and atoms, written as POSCAR:
```
AgHg2Te
1.0
3.238 0.000 0.000
0.000 3.238 0.000
0.000 0.000 9.845
Te Hg Ag
1 2 1
Direct
0.000 0.000 0.543
0.000 0.000 0.968
0.500 0.500 0.227
0.500 0.500 0.762
```

=====

Quick look at relative energies in eV/atom: run a 0.026; run b 0.000.

=====

Run a
# AgHg2Te

AgHg2Te after structural relaxation (PBE-GGA, the Alexandria database).

Values from the calculation:
Space group: No. 122
Crystal system: tetragonal
DOS at the Fermi energy (states/eV/cell): 5.7
Calculated volume (Å³ per cell): 209.0

Cell and atoms, written as POSCAR:
```
AgHg2Te
1.0
-3.639 7.223 2.194
-2.684 -3.515 7.119
-0.656 2.703 6.020
Te Hg Ag
2 4 2
Direct
0.000 0.000 0.000
0.750 0.250 0.500
0.610 0.125 0.250
0.140 0.625 0.250
0.375 0.390 0.750
0.875 0.860 0.750
0.500 0.500 0.000
0.250 0.750 0.500
```

=====

Run b
# AgHg2Te

AgHg2Te after structural relaxation (PBE-GGA, the Alexandria database).

Values from the calculation:
Space group: No. 12
Crystal system: monoclinic
DOS at the Fermi energy (states/eV/cell): 1.4
Calculated volume (Å³ per cell): 110.3

Cell and atoms, written as POSCAR:
```
AgHg2Te
1.0
-4.495 -4.993 3.751
-4.368 -6.255 0.999
2.735 -3.990 1.955
Te Hg Ag
1 2 1
Direct
0.250 0.250 0.250
0.051 0.051 0.942
0.449 0.449 0.558
0.750 0.750 0.750
```

=====

Run c
# AgHg2Te

AgHg2Te after structural relaxation (PBE-GGA, the Alexandria database).

Values from the calculation:
Space group: No. 225
Crystal system: cubic
DOS at the Fermi energy (states/eV/cell): 1.5
Calculated volume (Å³ per cell): 99.7

Cell and atoms, written as POSCAR:
```
AgHg2Te
1.0
0.000 3.681 3.681
3.681 0.000 3.681
3.681 3.681 0.000
Te Hg Ag
1 2 1
Direct
0.500 0.500 0.500
0.250 0.250 0.250
0.750 0.750 0.750
0.000 0.000 0.000
```

=====

Quick look at relative energies in eV/atom: run a 0.037; run b 0.000; run c 0.111.

=====

Run a
# AgHgTe

AgHgTe after structural relaxation (PBE-GGA, the Alexandria database).

Values from the calculation:
Space group: No. 2
Crystal system: triclinic
DOS at the Fermi energy (states/eV/cell): 2.3
Calculated volume (Å³ per cell): 161.6

Cell and atoms, written as POSCAR:
```
AgHgTe
1.0
3.154 0.473 0.417
0.642 4.639 0.085
1.618 0.484 11.497
Ag Hg Te
2 2 2
Direct
0.594 0.223 0.068
0.406 0.777 0.932
0.294 0.753 0.588
0.706 0.247 0.412
0.845 0.233 0.803
0.155 0.767 0.197
```

=====

Run b
# AgHgTe

AgHgTe after structural relaxation (PBE-GGA, the Alexandria database).

Values from the calculation:
Space group: No. 107
Crystal system: tetragonal
DOS at the Fermi energy (states/eV/cell): 1.4
Calculated volume (Å³ per cell): 75.4

Cell and atoms, written as POSCAR:
```
AgHgTe
1.0
-1.923 0.290 7.239
-4.536 -2.904 5.213
4.808 -0.292 -5.742
Te Hg Ag
1 1 1
Direct
0.649 0.649 0.000
0.355 0.355 0.000
0.997 0.997 0.000
```

=====

Quick look at relative energies in eV/atom: run a 0.000; run b 0.161.

=====

Run a
# Ag2HgTe

Ag2HgTe after structural relaxation (PBE-GGA, the Alexandria database).

Values from the calculation:
Space group: No. 47
Crystal system: orthorhombic
DOS at the Fermi energy (states/eV/cell): 1.5
Calculated volume (Å³ per cell): 89.8

Cell and atoms, written as POSCAR:
```
Ag2HgTe
1.0
-0.892 1.997 4.143
-4.568 -0.959 -0.521
0.544 -3.597 1.851
Te Hg Ag
1 1 2
Direct
0.000 0.500 0.500
0.500 0.000 0.500
0.000 0.000 0.000
0.500 0.500 0.000
```

=====

Run b
# Ag2HgTe

Ag2HgTe after structural relaxation (PBE-GGA, the Alexandria database).

Values from the calculation:
Space group: No. 216
Crystal system: cubic
DOS at the Fermi energy (states/eV/cell): 2.0
Calculated volume (Å³ per cell): 91.7

Cell and atoms, written as POSCAR:
```
Ag2HgTe
1.0
-2.269 2.435 -3.813
-0.383 -2.205 -4.540
-4.510 -1.570 -1.678
Te Hg Ag
1 1 2
Direct
0.750 0.750 0.750
0.500 0.500 0.500
0.000 0.000 0.000
0.250 0.250 0.250
```

=====

Run c
# Ag2HgTe

Ag2HgTe after structural relaxation (PBE-GGA, the Alexandria database).

Values from the calculation:
Space group: No. 6
Crystal system: monoclinic
DOS at the Fermi energy (states/eV/cell): 0.6
Calculated volume (Å³ per cell): 95.9

Cell and atoms, written as POSCAR:
```
Ag2HgTe
1.0
-5.038 0.125 -0.578
0.281 -1.540 -2.780
-0.457 -5.169 2.868
Te Hg Ag
1 1 2
Direct
0.500 0.993 0.793
0.000 0.504 0.420
0.000 0.998 0.995
0.500 0.005 0.292
```

=====

Run d
# Ag2HgTe

Ag2HgTe after structural relaxation (PBE-GGA, the Alexandria database).

Values from the calculation:
Space group: No. 12
Crystal system: monoclinic
DOS at the Fermi energy (states/eV/cell): 0.9
Calculated volume (Å³ per cell): 98.1

Cell and atoms, written as POSCAR:
```
Ag2HgTe
1.0
7.087 -0.009 -0.025
-3.577 4.666 0.021
-0.066 1.064 2.973
Te Hg Ag
1 1 2
Direct
0.500 0.500 0.000
0.000 0.500 0.500
0.000 0.000 0.000
0.500 0.000 0.500
```

=====

Quick look at relative energies in eV/atom: run a 0.048; run b 0.143; run c 0.000; run d 0.059.

=====

Run a
# Ag2HgTe

Ag2HgTe after structural relaxation (PBE-GGA, the Alexandria database).

Values from the calculation:
Space group: No. 12
Crystal system: monoclinic
DOS at the Fermi energy (states/eV/cell): 0.9
Calculated volume (Å³ per cell): 93.8

Cell and atoms, written as POSCAR:
```
Ag2HgTe
1.0
4.658 0.018 -0.008
3.570 2.991 -0.008
1.096 0.401 6.763
Te Hg Ag
1 1 2
Direct
0.250 0.250 0.250
0.750 0.750 0.750
0.004 0.004 0.979
0.496 0.496 0.521
```

=====

Run b
# Ag2HgTe

Ag2HgTe after structural relaxation (PBE-GGA, the Alexandria database).

Values from the calculation:
Space group: No. 160
Crystal system: trigonal
DOS at the Fermi energy (states/eV/cell): 2.2
Calculated volume (Å³ per cell): 100.1

Cell and atoms, written as POSCAR:
```
Ag2HgTe
1.0
4.283 0.000 0.000
2.142 3.709 0.000
2.142 1.236 6.302
Ag Hg Te
2 1 1
Direct
0.085 0.085 0.746
0.248 0.248 0.255
0.497 0.497 0.509
0.670 0.670 0.990
```

=====

Run c
# Ag2HgTe

Ag2HgTe after structural relaxation (PBE-GGA, the Alexandria database).

Values from the calculation:
Space group: No. 123
Crystal system: tetragonal
DOS at the Fermi energy (states/eV/cell): 0.9
Calculated volume (Å³ per cell): 90.3

Cell and atoms, written as POSCAR:
```
Ag2HgTe
1.0
-1.022 2.701 1.404
-0.626 -1.636 2.691
8.121 1.590 2.855
Te Hg Ag
1 1 2
Direct
0.500 0.500 0.750
0.500 0.500 0.250
0.000 0.000 0.019
0.000 0.000 0.481
```

=====

Run d
# Ag2HgTe

Ag2HgTe after structural relaxation (PBE-GGA, the Alexandria database).

Values from the calculation:
Space group: No. 35
Crystal system: orthorhombic
DOS at the Fermi energy (states/eV/cell): 0.7
Calculated volume (Å³ per cell): 93.3

Cell and atoms, written as POSCAR:
```
Ag2HgTe
1.0
3.112 0.240 0.000
-0.246 3.112 0.000
0.000 0.000 9.581
Te Hg Ag
1 1 2
Direct
0.500 0.500 0.782
0.000 0.000 0.458
0.000 0.000 0.030
0.500 0.500 0.230
```

=====

Quick look at relative energies in eV/atom: run a 0.000; run b 0.010; run c 0.096; run d 0.059.

=====

Run a
# Ag2HgTe

Ag2HgTe after structural relaxation (PBE-GGA, the Alexandria database).

Values from the calculation:
Space group: No. 65
Crystal system: orthorhombic
DOS at the Fermi energy (states/eV/cell): 1.0
Calculated volume (Å³ per cell): 90.4

Cell and atoms, written as POSCAR:
```
Ag2HgTe
1.0
-2.566 -0.740 1.733
1.996 -2.143 1.250
2.498 5.971 6.247
Te Hg Ag
1 1 2
Direct
0.500 0.500 0.750
0.500 0.500 0.250
0.000 0.000 0.018
0.000 0.000 0.482
```

=====

Run b
# Ag2HgTe

Ag2HgTe after structural relaxation (PBE-GGA, the Alexandria database).

Values from the calculation:
Space group: No. 160
Crystal system: trigonal
DOS at the Fermi energy (states/eV/cell): 1.7
Calculated volume (Å³ per cell): 92.8

Cell and atoms, written as POSCAR:
```
Ag2HgTe
1.0
-3.099 -9.155 4.590
-3.625 -9.947 1.547
-0.718 -10.300 2.806
Te Hg Ag
1 1 2
Direct
0.738 0.738 0.738
0.513 0.513 0.513
0.993 0.993 0.993
0.256 0.256 0.256
```

=====

Quick look at relative energies in eV/atom: run a 0.022; run b 0.000.

=====

Run a
# Ag2HgTe

Ag2HgTe after structural relaxation (PBE-GGA, the Alexandria database).

Values from the calculation:
Space group: No. 10
Crystal system: monoclinic
DOS at the Fermi energy (states/eV/cell): 1.1
Calculated volume (Å³ per cell): 94.0

Cell and atoms, written as POSCAR:
```
Ag2HgTe
1.0
4.239 0.000 0.000
0.000 3.223 0.026
0.000 -0.040 6.878
Te Hg Ag
1 1 2
Direct
0.500 0.750 0.750
0.500 0.250 0.250
0.000 0.750 0.042
0.000 0.750 0.458
```

=====

Run b
# Ag2HgTe

Ag2HgTe after structural relaxation (PBE-GGA, the Alexandria database).

Values from the calculation:
Space group: No. 8
Crystal system: monoclinic
DOS at the Fermi energy (states/eV/cell): 1.1
Calculated volume (Å³ per cell): 91.6

Cell and atoms, written as POSCAR:
```
Ag2HgTe
1.0
-1.367 -1.294 5.453
-3.757 -2.240 3.762
1.757 -5.172 0.408
Te Hg Ag
1 1 2
Direct
0.270 0.270 0.186
0.480 0.480 0.572
0.026 0.026 0.038
0.724 0.724 0.704
```

=====

Run c
# Ag2HgTe

Ag2HgTe after structural relaxation (PBE-GGA, the Alexandria database).

Values from the calculation:
Space group: No. 122
Crystal system: tetragonal
DOS at the Fermi energy (states/eV/cell): 0.0
Calculated volume (Å³ per cell): 262.9

Cell and atoms, written as POSCAR:
```
Ag2HgTe
1.0
5.865 0.000 0.000
0.000 5.865 0.000
2.932 2.932 7.644
Te Hg Ag
2 2 4
Direct
0.500 0.500 0.000
0.250 0.750 0.500
0.000 0.000 0.000
0.750 0.250 0.500
0.580 0.125 0.250
0.170 0.625 0.250
0.375 0.420 0.750
0.875 0.830 0.750
```

=====

Run d
# Ag2HgTe

Ag2HgTe after structural relaxation (PBE-GGA, the Alexandria database).

Values from the calculation:
Space group: No. 47
Crystal system: orthorhombic
DOS at the Fermi energy (states/eV/cell): 1.1
Calculated volume (Å³ per cell): 90.0

Cell and atoms, written as POSCAR:
```
Ag2HgTe
1.0
-0.515 2.781 1.328
1.281 -1.526 3.693
6.438 1.886 -1.455
Te Hg Ag
1 1 2
Direct
0.500 0.500 0.750
0.500 0.500 0.250
0.000 0.000 0.029
0.000 0.000 0.471
```

=====

Quick look at relative energies in eV/atom: run a 0.000; run b 0.055; run c 0.031; run d 0.065.